The following is a GGA+U calculation of a geometry-optimized AlCr2PbO8 structure, from Alexandria via LeMat-Bulk.

## Properties
Calculated volume = 172.1 Å³/cell
Spin magnetization = 1.00 Bohr magnetons per cell
Theoretical density = 4.50 g/cm³
E_tot = -6.72 eV per atom

abc: 5.4141 5.4141 6.7800
angles: 90.00 90.00 120.00
Space group P-3 (No. 147)
One atom of each set of equivalent atoms:
Al  0.0000  0.0000  0.0000 [1 per cell]
Cr  0.3333  0.6667  0.2460 [2 per cell]
Pb  0.0000  0.0000  0.5000 [1 per cell]
O  0.1541  0.3189  0.1721 [6 per cell]
O  0.3333  0.6667  0.4899 [2 per cell]